[1]
! PBE CePuTeP, relaxed; values from VASP
&SYSTEM
  ibrav = 0, nat = 4, ntyp = 4
/
ATOMIC_SPECIES
P 30.97 P.upf
Ce 140.12 Ce.upf
Pu 244.00 Pu.upf
Te 127.60 Te.upf
CELL_PARAMETERS angstrom
4.2208 0.0000 0.0000
2.1104 3.6553 0.0000
2.1104 1.2184 7.0801
ATOMIC_POSITIONS crystal
P 0.2518 0.2518 0.2447
Ce 0.5117 0.5117 0.4648
Pu 0.9884 0.9884 0.0348
Te 0.7481 0.7481 0.7557
! formation energy (no corrections) = -5.26 eV per formula unit

---

[2]
! PBE CePuTh2P4, relaxed; values from VASP
&SYSTEM
  ibrav = 0, nat = 8, ntyp = 4
/
ATOMIC_SPECIES
Pu 244.00 Pu.upf
Th 232.04 Th.upf
P 30.97 P.upf
Ce 140.12 Ce.upf
CELL_PARAMETERS angstrom
-1.5738 -1.8328 3.3267
1.2000 -6.3675 -2.9404
5.6670 1.9841 3.7740
ATOMIC_POSITIONS crystal
Pu 0.0000 0.0000 0.0000
Th 0.0000 0.5000 0.5000
P 0.5000 0.2457 0.2433
P 0.0000 0.7497 0.2453
Th 0.5000 0.0000 0.5000
P 0.5000 0.7543 0.7567
Ce 0.5000 0.5000 0.0000
P 0.0000 0.2503 0.7547
! formation energy from the elements = -1.46 eV per atom